(1)
Here is BaAsSe2I after structural relaxation from Alexandria. Energies are from PBE.

The value obtained for the density of states at the Fermi level is 4.36 states/eV per cell. The calculated total energy comes out at -0.1162 hartree per atom. The calculation puts the offset from the most stable computed form at 0.0 meV/atom.

The space group is P4/mmm (No. 123) and the conventional cell measures 5.494, 5.494 and 5.440 Å, with angles of 90.00, 90.00 and 90.00 degrees. The asymmetric unit holds Ba at (0.000, 0.000, 0.000), As at (0.500, 0.500, 0.000), Se at (0.000, 0.500, 0.500) and I at (0.500, 0.500, 0.500).

---

(2)
Here is BaAs2SeI after structural relaxation from Alexandria. Energies are from PBE.

The value obtained for the density of states at the Fermi level is 4.37 states/eV per cell. The calculated total energy comes out at -0.1158 hartree per atom. The calculation puts the offset from the most stable computed form at 0.0 meV/atom.

The space group is P4/mmm (No. 123) and the conventional cell measures 5.457, 5.457 and 5.538 Å, with angles of 90.00, 90.00 and 90.00 degrees. The asymmetric unit holds Ba at (0.000, 0.000, 0.000), As at (0.000, 0.500, 0.500), Se at (0.500, 0.500, 0.000) and I at (0.500, 0.500, 0.500).

---

(3)
Here is Ba8SiAs3I4 after structural relaxation from Alexandria. Energies are from PBE.

The value obtained for the density of states at the Fermi level is 27.80 states/eV per cell. The calculated total energy comes out at -0.1417 hartree per atom.

The space group is R-3m (No. 166, hexagonal axes) and the conventional cell measures 9.7246, 9.7246 and 25.3741 Å, with angles of 90.00, 90.00 and 120.00 degrees. The asymmetric unit holds Ba at (0.0000, 0.0000, 0.2342), Ba at (0.0023, 0.5011, 0.7646), Si at (0.0000, 0.0000, 0.5000), As at (0.0000, 0.5000, 0.5000), I at (0.0000, 0.0000, 0.0000) and I at (0.0000, 0.5000, 0.0000).

---

(4)
Here is BaSiAs2I after structural relaxation from Alexandria. Energies are from PBE.

The value obtained for the density of states at the Fermi level is 5.86 states/eV per cell. The calculated total energy comes out at -0.0952 hartree per atom.

The space group is P4/mmm (No. 123) and the conventional cell measures 6.364, 6.364 and 6.575 Å, with angles of 90.00, 90.00 and 90.00 degrees. The asymmetric unit holds Ba at (0.000, 0.000, 0.000), Si at (0.500, 0.500, 0.500), As at (0.000, 0.500, 0.000) and I at (0.000, 0.000, 0.500).

---

| no. | magnetic moment (Bohr magnetons per cell) |
| --- | --- |
| 1 | 0.0 |
| 2 | 0.0 |
| 3 | 3.2 |
| 4 | 3.0 |